Computed, not measured: Dy3TmCo2 after structural relaxation at the PBE level of DFT.

Results
The calculation puts the total energy at -5.58 eV per atom. The excess energy over the best structure of this formula in the dataset is 0 meV per atom. Its density of states at the Fermi level is 7.23 states/eV/f.u. The calculation puts the energy relative to the elements at -0.17 eV/atom.

a b c (Å): 8.375 8.375 11.449
angles (deg): 122.84 122.84 25.79
Positions (direct):
1 Dy 0.083 0.083 0.442
2 Dy 0.084 0.084 0.938
3 Dy 0.340 0.340 0.754
4 Dy 0.660 0.660 0.246
5 Dy 0.916 0.916 0.062
6 Dy 0.917 0.917 0.558
7 Tm 0.339 0.339 0.252
8 Tm 0.661 0.661 0.748
9 Co 0.267 0.267 0.451
10 Co 0.268 0.268 0.953
11 Co 0.732 0.732 0.047
12 Co 0.733 0.733 0.549